Nd2Sm4Sc PBE-GGA relaxed; E above lowest polymorph = 99 meV per atom; formation enthalpy at 0 K = 0.135 eV/atom; total moment = 0.00 μB per cell
1.0
-2.274 4.688 3.238
-6.027 -2.819 -0.152
3.395 -7.692 8.046
Nd Sm Sc
4 8 2
Direct
0.610 0.750 0.998
0.390 0.250 0.002
0.280 0.250 0.421
0.720 0.750 0.579
0.643 0.509 0.285
0.036 0.750 0.870
0.964 0.250 0.130
0.643 0.991 0.285
0.848 0.250 0.557
0.357 0.009 0.715
0.357 0.491 0.715
0.152 0.750 0.443
0.141 0.750 0.163
0.859 0.250 0.837


Nd6SmSc3 PBE-GGA relaxed; formation enthalpy at 0 K = 0.173 eV/atom; total moment = 0.36 μB per cell
1.0
8.660 0.000 4.596
3.111 8.082 4.596
2.191 1.504 6.329
Nd Sm Sc
6 1 3
Direct
0.900 0.563 0.300
0.237 0.900 0.300
0.563 0.237 0.300
0.067 0.400 0.800
0.733 0.067 0.800
0.400 0.733 0.800
0.900 0.900 0.300
0.400 0.400 0.800
0.641 0.641 0.078
0.159 0.159 0.523


Nd2Sm6Sc3 PBE-GGA relaxed; formation enthalpy at 0 K = 0.351 eV/atom; total moment = 0.00 μB per cell
1.0
-5.768 0.553 -1.183
-3.314 -0.096 4.900
-23.432 12.643 10.835
Nd Sm Sc
2 6 3
Direct
0.150 0.150 0.345
0.850 0.850 0.655
0.891 0.410 0.857
0.410 0.891 0.857
0.109 0.590 0.143
0.590 0.109 0.143
0.506 0.507 0.648
0.494 0.493 0.352
0.000 0.000 0.000
0.695 0.694 0.394
0.305 0.306 0.606